No. 1
The following is a PBE-GGA calculation of an optimized crystal structure of CaY2Mg, from Alexandria via LeMat-Bulk.

It has space group Pmm2 (No. 25), with a = 3.568 Å, b = 5.015 Å, c = 7.159 Å, α = 90.00°, β = 90.00° and γ = 90.00°. Symmetry generates all atoms from Ca at (0.000, 0.000, 0.000), Y at (0.000, 0.000, 0.488), Y at (0.500, 0.500, 0.724) and Mg at (0.500, 0.500, 0.255).

As for the calculated volume: 32.018 Å³/atom. The total energy is -16.33 eV for the cell shown. Its energy of formation from the pure elements is 0.05 eV/atom.



No. 2
The following is a PBE-GGA calculation of an optimized crystal structure of GaCSe2, from Alexandria via LeMat-Bulk.

It has space group Fm-3m (No. 225), with a = 6.420 Å, b = 6.420 Å, c = 6.420 Å, α = 90.00°, β = 90.00° and γ = 90.00°. Symmetry generates all atoms from Ga at (0.000, 0.000, 0.000), C at (0.000, 0.000, 0.500) and Se at (0.250, 0.250, 0.250).

The calculation puts the energy above the lowest structure with this stoichiometry at 0.748 eV per atom. As for the calculated volume: 16.541 Å³/atom. As for the raw formation energy: 5.88 eV/f.u. The total energy is -53.34 eV for the cell shown.



- Look up the total energy of the second one.
  -53.34 eV for the cell shown